Run w
Nd5Ho2Er4 PBE optimized geometry; total moment = 0.00 Bohr magnetons per cell; Fermi-level density of states = 1.37 states/eV/atom; space-group type = C2/m
1.0
3.485 0.000 -0.658
-0.190 11.569 -1.007
-0.107 0.164 8.992
Ho Nd Er
2 5 4
Direct
0.716 0.352 0.432
0.284 0.648 0.568
0.903 0.465 0.806
0.177 0.070 0.353
0.097 0.535 0.194
0.500 0.000 0.000
0.823 0.930 0.647
0.360 0.205 0.719
0.035 0.260 0.071
0.640 0.795 0.281
0.965 0.740 0.929

---

Run x
Nd5Ho2Er4 PBE optimized geometry; total moment = 0.00 Bohr magnetons per cell; Fermi-level density of states = 1.61 states/eV/atom; space-group type = Immm
1.0
-1.554 -1.378 2.843
-6.177 -4.042 -5.336
10.784 -6.783 0.429
Nd Ho Er
5 2 4
Direct
0.146 0.945 0.292
0.146 0.347 0.292
0.854 0.653 0.708
0.854 0.055 0.708
0.500 0.000 0.000
0.730 0.730 0.461
0.270 0.270 0.539
0.000 0.315 0.000
0.403 0.403 0.807
0.000 0.685 0.000
0.597 0.597 0.193

---

Relative energies, in kJ/mol of atoms, with the most stable structure set to zero: run w 0.0; run x 11.7.

---

Run w
Nd4Ho5Er PBE optimized geometry; total moment = 0.00 Bohr magnetons per cell; Fermi-level density of states = 1.28 states/eV/atom; space-group type = I4mm
1.0
-2.366 5.063 -2.024
-2.254 -0.670 -7.770
-8.030 0.206 1.175
Nd Ho Er
4 5 1
Direct
0.126 0.323 0.323
0.449 0.323 0.677
0.449 0.677 0.323
0.772 0.677 0.677
0.141 0.623 0.000
0.691 0.000 0.000
0.764 0.000 0.377
0.141 0.000 0.623
0.764 0.377 0.000
0.214 0.000 0.000

---

Run x
Nd4Ho5Er PBE optimized geometry; total moment = 0.00 Bohr magnetons per cell; Fermi-level density of states = 1.34 states/eV/atom; space-group type = C2/m
1.0
3.458 0.000 -0.701
-0.119 11.229 -0.587
-0.021 0.463 8.740
Nd Er Ho
4 1 5
Direct
0.969 0.250 0.937
0.343 0.750 0.685
0.031 0.750 0.063
0.657 0.250 0.315
0.500 0.000 0.000
0.500 0.500 0.000
0.827 0.450 0.653
0.173 0.950 0.346
0.827 0.050 0.654
0.173 0.550 0.347

---

Relative energies, in kJ/mol of atoms, with the most stable structure set to zero: run w 4.6; run x 0.0.

---

Run w
Nd2Ho5Er PBE optimized geometry; total moment = 0.00 Bohr magnetons per cell; Fermi-level density of states = 1.48 states/eV/atom; space-group type = C2/c
1.0
0.993 -8.893 -4.128
3.993 -1.821 4.885
-9.914 3.251 2.374
Ho Nd Er
10 4 2
Direct
0.310 0.948 0.799
0.489 0.448 0.799
0.286 0.870 0.399
0.690 0.052 0.201
0.941 0.750 0.000
0.887 0.630 0.601
0.714 0.130 0.601
0.511 0.552 0.201
0.113 0.370 0.399
0.059 0.250 0.000
0.825 0.539 0.162
0.664 0.961 0.838
0.336 0.039 0.162
0.175 0.461 0.838
0.000 0.000 0.500
0.500 0.500 0.500

---

Run x
Nd2Ho5Er PBE optimized geometry; total moment = 0.00 Bohr magnetons per cell; Fermi-level density of states = 1.37 states/eV/atom; space-group type = Pbam
1.0
5.030 0.000 0.000
0.000 7.122 0.000
0.000 0.000 14.245
Ho Nd Er
10 4 2
Direct
0.000 0.001 0.250
0.500 0.249 0.875
0.000 0.000 0.000
0.500 0.751 0.125
0.000 0.999 0.750
0.500 0.251 0.375
0.000 0.500 0.500
0.500 0.749 0.625
0.000 0.501 0.250
0.000 0.499 0.750
0.500 0.751 0.375
0.500 0.749 0.875
0.500 0.249 0.625
0.500 0.251 0.125
0.000 0.500 0.000
0.000 0.000 0.500

---

Relative energies, in kJ/mol of atoms, with the most stable structure set to zero: run w 13.6; run x 0.0.